Crystalline Sn9O4F10 at its relaxed geometry. Source: the Alexandria database, functional PBE-GGA.

```
Sn9O4F10
1.0
-7.9686 -3.9931 6.5727
-0.9837 -8.8577 -6.5739
5.2061 -3.6271 4.1082
Sn O F
18 8 20
direct
0.5000 0.0000 0.7771
0.9181 0.1389 0.3354
0.8611 0.9181 0.6646
0.6369 0.2793 0.1654
0.3611 0.4181 0.3354
0.3631 0.7207 0.1654
0.7793 0.8631 0.1654
0.4181 0.6389 0.6646
0.8631 0.2207 0.8346
0.1389 0.0819 0.6646
0.2207 0.1369 0.1654
0.5819 0.3611 0.6646
0.0819 0.8611 0.3354
0.2793 0.3631 0.8346
0.0000 0.5000 0.2229
0.7207 0.6369 0.8346
0.6389 0.5819 0.3354
0.1369 0.7793 0.8346
0.5573 0.3810 0.3739
0.8810 0.9427 0.3739
0.3810 0.4427 0.6261
0.1190 0.0573 0.3739
0.0573 0.8810 0.6261
0.6190 0.5573 0.6261
0.9427 0.1190 0.6261
0.4427 0.6190 0.3739
0.5000 0.0000 0.0434
0.6996 0.1547 0.3576
0.7026 0.1088 0.7990
0.6088 0.7974 0.7990
0.0000 0.5000 0.9566
0.5000 0.5000 0.0000
0.3912 0.2026 0.7990
0.2026 0.6088 0.2010
0.8453 0.6996 0.6424
0.1088 0.2974 0.2010
0.8004 0.3453 0.6424
0.3004 0.8453 0.3576
0.8912 0.7026 0.2010
0.2974 0.8912 0.7990
0.3453 0.1996 0.3576
0.0000 0.0000 0.0000
0.1547 0.3004 0.6424
0.1996 0.6547 0.6424
0.7974 0.3912 0.2010
0.6547 0.8004 0.3576
```

## Properties
The calculation puts the density of states at the Fermi level at 0.000 states/eV per atom. Its uncorrected formation energy is -42.82 eV per formula unit. The space group is P4/n, No. 85. The total magnetization comes out at 0.0 μB/f.u.